{"formula": "Rb2NaInPt", "functional": "PBE-GGA", "state": "relaxed", "cell": [[6.543, 0.000, 0.000], [0.000, 6.543, 0.000], [0.000, 0.000, 5.244]], "species": ["Rb", "Rb", "Na", "In", "Pt"], "fractional_positions": [[0.000, 0.500, 0.000], [0.500, 0.000, 0.000], [0.000, 0.000, 0.500], [0.500, 0.500, 0.500], [0.500, 0.500, 0.000]], "final_energy_ev_per_cell": -12.29, "m_tot_mub_per_atom": 0.0000, "dos_at_fermi_per_ev_fu": 3.0, "sg": "P4/mmm"}